# 1
Compound: CaCrW2
Source: the Alexandria database
Functional: PBE-GGA
Structure: optimized geometry

abc: 3.200 3.200 7.511
angles: 90.00 90.00 90.00
Fractional positions:
Ca  0.000  0.000  0.000
Cr  0.500  0.500  0.317
W  0.000  0.000  0.499
W  0.500  0.500  0.692

## Properties
Total energy: -35.02 eV/f.u.
E above lowest polymorph: 1 meV per atom
N(E_F): 4.0 states/eV per cell
ΔE_f: 0.63 eV per atom
Size of the total moment: 2.70 μB/cell
Space-group type: P4mm

***

# 2
Compound: SrFeAg2
Source: the Alexandria database
Functional: PBE-GGA
Structure: optimized geometry

abc: 7.899 4.569 6.046
angles: 90.00 115.96 90.00
Fractional positions:
Sr  0.000  0.000  0.000
Sr  0.500  0.500  0.000
Fe  0.309  0.500  0.425
Fe  0.809  0.000  0.425
Ag  0.197  0.000  0.591
Ag  0.477  0.000  0.431
Ag  0.697  0.500  0.591
Ag  0.977  0.500  0.431

## Properties
Total energy: -15.04 eV/f.u.
E above lowest polymorph: 20 meV per atom
N(E_F): 6.4 states/eV per cell
ΔE_f: 0.20 eV per atom
Size of the total moment: 5.30 μB/cell
Space-group type: Cm

***

# 3
Compound: K2H2Au
Source: the Alexandria database
Functional: PBE-GGA
Structure: optimized geometry

abc: 8.307 8.307 2.977
angles: 90.00 90.00 90.00
Fractional positions:
K  0.154  0.346  0.000
K  0.346  0.846  0.000
K  0.654  0.154  0.000
K  0.846  0.654  0.000
H  0.132  0.632  0.500
H  0.368  0.132  0.500
H  0.632  0.868  0.500
H  0.868  0.368  0.500
Au  0.000  0.000  0.000
Au  0.500  0.500  0.000

## Properties
Total energy: -11.13 eV/f.u.
N(E_F): 4.8 states/eV per cell
Size of the total moment: 0.00 μB/cell
Space-group type: P4/mbm

***

# 4
Compound: V4Si2C
Source: the Alexandria database
Functional: PBE-GGA
Structure: optimized geometry

abc: 3.846 3.846 12.668
angles: 90.00 90.00 90.00
Fractional positions:
V  0.000  0.000  0.162
V  0.000  0.000  0.838
V  0.000  0.500  0.000
V  0.000  0.500  0.500
V  0.500  0.000  0.000
V  0.500  0.000  0.500
V  0.500  0.500  0.338
V  0.500  0.500  0.662
Si  0.000  0.000  0.358
Si  0.000  0.000  0.642
Si  0.500  0.500  0.142
Si  0.500  0.500  0.858
C  0.000  0.000  0.000
C  0.500  0.500  0.500

## Properties
Total energy: -58.30 eV/f.u.
E above lowest polymorph: 282 meV per atom
N(E_F): 14.1 states/eV per cell
Size of the total moment: 4.85 μB/cell
Uncorrected formation energy: -0.2510 eV/atom
Space-group type: I4/mmm

***

# 5
Compound: Na2LiPC
Source: the Alexandria database
Functional: PBE-GGA
Structure: optimized geometry

abc: 5.669 5.669 3.553
angles: 90.00 90.00 90.00
Fractional positions:
Na  0.000  0.500  0.000
Na  0.500  0.000  0.000
Li  0.000  0.000  0.500
P  0.500  0.500  0.000
C  0.500  0.500  0.500

## Properties
Total energy: -16.05 eV/f.u.
N(E_F): 2.1 states/eV per cell
ΔE_f: 0.63 eV per atom
Size of the total moment: 0.00 μB/cell
Space-group type: P4/mmm

***

# 6
Compound: LiBeRe2Ni
Source: the Alexandria database
Functional: PBE-GGA
Structure: optimized geometry

abc: 4.160 4.160 3.723
angles: 90.00 90.00 90.00
Fractional positions:
Li  0.000  0.000  0.000
Be  0.000  0.000  0.500
Re  0.000  0.500  0.500
Re  0.500  0.000  0.500
Ni  0.500  0.500  0.000

## Properties
Total energy: -31.59 eV/f.u.
N(E_F): 6.0 states/eV per cell
ΔE_f: 0.95 eV per atom
Size of the total moment: 0.00 μB/cell
Space-group type: P4/mmm